(1)
# LaSmTmSc

An optimized crystal structure of LaSmTmSc (PBE, Alexandria via LeMat-Bulk).

Output
The energy above the most stable polymorph in this dataset is 0.0 meV/atom. For the final energy, the calculation gives -5.028 eV/atom. The density comes out at 6.6 Mg/m³. As for the formation energy: 0.08 eV per atom.

abc: 5.623 5.623 5.623
angles: 60.00 60.00 60.00
Sites, in units of the cell vectors:
Sc (0.000, 0.000, 0.000)
Sm (0.250, 0.250, 0.250)
La (0.750, 0.750, 0.750)
Tm (0.500, 0.500, 0.500)

---

(2)
# La2SmTm5Sc

An optimized crystal structure of La2SmTm5Sc (PBE, Alexandria via LeMat-Bulk).

Output
For the final energy, the calculation gives -4.649 eV/atom. The density comes out at 7.6 Mg/m³. As for the formation energy: 0.16 eV per atom.

abc: 5.574 10.178 10.498
angles: 90.00 90.00 105.89
Sites, in units of the cell vectors:
Sc (0.199, 0.398, 0.013)
La (0.115, 0.231, 0.733)
Tm (0.722, 0.444, 0.820)
Tm (0.016, 0.032, 0.021)
Sm (0.413, 0.827, 0.462)
Tm (0.378, 0.755, 0.018)
Tm (0.984, 0.968, 0.521)
Tm (0.483, 0.966, 0.739)
La (0.114, 0.227, 0.314)
Sc (0.801, 0.602, 0.513)
Tm (0.297, 0.594, 0.703)
Tm (0.278, 0.556, 0.320)
Tm (0.703, 0.406, 0.203)
Tm (0.622, 0.245, 0.518)
La (0.885, 0.769, 0.233)
Tm (0.517, 0.034, 0.239)
La (0.886, 0.773, 0.814)
Sm (0.587, 0.173, 0.962)

---

(3)
# LaSmTmSc

An optimized crystal structure of LaSmTmSc (PBE, Alexandria via LeMat-Bulk).

Output
The energy above the most stable polymorph in this dataset is 2.0 meV/atom. For the final energy, the calculation gives -5.026 eV/atom. The density comes out at 6.6 Mg/m³. As for the formation energy: 0.09 eV per atom.

abc: 3.828 5.699 6.722
angles: 115.08 73.45 90.00
Sites, in units of the cell vectors:
Tm (0.191, 0.872, 0.745)
Sc (0.918, 0.645, 0.290)
La (0.425, 0.137, 0.274)
Sm (0.653, 0.410, 0.820)

---

(4)
# La2Sm6Tm3Sc

An optimized crystal structure of La2Sm6Tm3Sc (PBE, Alexandria via LeMat-Bulk).

Output
For the final energy, the calculation gives -4.793 eV/atom. The density comes out at 7.4 Mg/m³. As for the formation energy: 0.03 eV per atom.

abc: 6.210 6.210 11.864
angles: 95.03 95.03 120.04
Sites, in units of the cell vectors:
La (0.666, 0.334, 0.000)
Sm (0.916, 0.587, 0.746)
Sm (0.754, 0.754, 0.254)
Sm (0.246, 0.246, 0.746)
Sc (0.000, 0.000, 0.000)
Tm (0.500, 0.500, 0.500)
Sm (0.587, 0.916, 0.746)
Tm (0.166, 0.834, 0.500)
La (0.334, 0.666, 0.000)
Sm (0.413, 0.084, 0.254)
Sm (0.084, 0.413, 0.254)
Tm (0.834, 0.166, 0.500)

---

(5)
# LaSm2Tm5Sc

An optimized crystal structure of LaSm2Tm5Sc (PBE, Alexandria via LeMat-Bulk).

Output
For the final energy, the calculation gives -4.511 eV/atom. The density comes out at 7.8 Mg/m³. As for the formation energy: 0.27 eV per atom.

abc: 8.675 8.675 9.697
angles: 116.57 116.57 90.00
Sites, in units of the cell vectors:
Sc (0.250, 0.750, 0.500)
Tm (0.000, 0.000, 0.000)
Tm (0.841, 0.934, 0.275)
Sm (0.118, 0.382, 0.000)
Tm (0.566, 0.659, 0.725)
Tm (0.341, 0.841, 0.275)
Sm (0.882, 0.618, 0.000)
Tm (0.659, 0.159, 0.725)
La (0.750, 0.750, 0.500)
La (0.250, 0.250, 0.500)
Sc (0.750, 0.250, 0.500)
Sm (0.382, 0.882, 0.000)
Tm (0.159, 0.066, 0.725)
Tm (0.500, 0.500, 0.000)
Tm (0.066, 0.566, 0.725)
Tm (0.434, 0.341, 0.275)
Sm (0.618, 0.118, 0.000)
Tm (0.934, 0.434, 0.275)

---

(6)
# La2Sm2Y4Sc

An optimized crystal structure of La2Sm2Y4Sc (PBE, Alexandria via LeMat-Bulk).

Output
For the final energy, the calculation gives -5.701 eV/atom. The density comes out at 5.5 Mg/m³. As for the formation energy: 0.02 eV per atom.

abc: 3.626 9.547 9.613
angles: 115.00 90.00 100.95
Sites, in units of the cell vectors:
Y (0.184, 0.369, 0.335)
Y (0.816, 0.631, 0.665)
Sc (0.000, 0.000, 0.000)
Y (0.480, 0.960, 0.670)
La (0.338, 0.676, 0.002)
Y (0.520, 0.040, 0.330)
La (0.662, 0.324, 0.998)
Sm (0.147, 0.294, 0.664)
Sm (0.853, 0.706, 0.336)

---

(7)
# La5Sm2YSc

An optimized crystal structure of La5Sm2YSc (PBE, Alexandria via LeMat-Bulk).

Output
For the final energy, the calculation gives -4.922 eV/atom. The density comes out at 5.9 Mg/m³. As for the formation energy: 0.29 eV per atom.

abc: 8.451 8.451 10.705
angles: 113.25 113.25 90.00
Sites, in units of the cell vectors:
Y (0.250, 0.250, 0.500)
La (0.637, 0.137, 0.713)
Sc (0.750, 0.250, 0.500)
Sm (0.127, 0.373, 0.000)
La (0.075, 0.575, 0.713)
Sc (0.250, 0.750, 0.500)
La (0.425, 0.363, 0.287)
La (0.363, 0.863, 0.287)
La (0.137, 0.075, 0.713)
Sm (0.873, 0.627, 0.000)
Y (0.750, 0.750, 0.500)
La (0.500, 0.500, 0.000)
La (0.863, 0.925, 0.287)
La (0.925, 0.425, 0.287)
Sm (0.627, 0.127, 0.000)
Sm (0.373, 0.873, 0.000)
La (0.000, 0.000, 0.000)
La (0.575, 0.637, 0.713)

---

(8)
# La3Sm6Y2Sc

An optimized crystal structure of La3Sm6Y2Sc (PBE, Alexandria via LeMat-Bulk).

Output
For the final energy, the calculation gives -5.163 eV/atom. The density comes out at 6.4 Mg/m³. As for the formation energy: 0.03 eV per atom.

abc: 6.273 6.273 11.985
angles: 95.01 95.01 120.05
Sites, in units of the cell vectors:
Sm (0.591, 0.920, 0.758)
Sm (0.751, 0.751, 0.242)
Sm (0.920, 0.591, 0.758)
Y (0.666, 0.334, 0.000)
Sm (0.409, 0.080, 0.242)
Y (0.334, 0.666, 0.000)
Sm (0.249, 0.249, 0.758)
La (0.167, 0.833, 0.500)
La (0.833, 0.167, 0.500)
Sc (0.000, 0.000, 0.000)
La (0.500, 0.500, 0.500)
Sm (0.080, 0.409, 0.242)

---

What is the final energy in the third record? -5.026 eV/atom